CdAgAs: single point on PBEsol structure, SCAN.

Cell lengths 2.995, 2.995, 6.595 Å; angles 103.13, 103.13, 90.00 degrees
Fractional positions:
As 0.341 0.341 0.681
Cd 0.660 0.660 0.321
Ag 0.999 0.999 0.998

* DOS(E_F): 0.91 states/eV/f.u.
* ΔE_f: 0.1435 eV/atom
* DFT total energy: -27.18 eV per atom

***

CdSb2Ir: single point on PBEsol structure, SCAN.

Cell lengths 4.781, 4.781, 4.781 Å; angles 97.90, 115.55, 115.55 degrees
Fractional positions:
Ir 0.000 0.000 0.000
Sb 0.500 0.750 0.250
Sb 0.500 0.250 0.750
Cd 0.000 0.500 0.500

* formation energy without anion corrections: 348 meV/atom
* DOS(E_F): 1.99 states/eV/f.u.
* DFT total energy: -43.66 eV per atom

***

Ba2TlH2: single point on PBEsol structure, SCAN.

Cell lengths 4.234, 4.234, 8.045 Å; angles 105.26, 105.26, 90.00 degrees
Fractional positions:
Ba 0.650 0.650 0.300
Ba 0.350 0.350 0.700
Tl 0.000 0.000 0.000
H 0.250 0.750 0.500
H 0.750 0.250 0.500

* offset from the most stable computed form: 0.0 meV per atom
* DOS(E_F): 3.58 states/eV/f.u.
* DFT total energy: -32.21 eV per atom

***

Sr2RuN2: single point on PBEsol structure, SCAN.

Cell lengths 3.859, 3.859, 6.838 Å; angles 106.39, 106.39, 90.00 degrees
Fractional positions:
Ru 0.500 0.500 0.000
N 0.356 0.356 0.711
N 0.644 0.644 0.289
Sr 0.142 0.142 0.284
Sr 0.858 0.858 0.716

* formation energy without anion corrections: -638 meV/atom
* DOS(E_F): 0.57 states/eV/f.u.
* DFT total energy: -20.23 eV per atom

***

Er2CuO4: single point on PBEsol structure, SCAN.

Cell lengths 5.377, 5.383, 6.369 Å; angles 115.00, 90.00, 90.00 degrees
Fractional positions:
O 0.250 0.009 0.500
O 0.202 0.702 0.000
O 0.702 0.798 0.000
O 0.750 0.991 0.500
O 0.750 0.491 0.500
O 0.250 0.509 0.500
O 0.798 0.298 0.000
O 0.298 0.202 0.000
Cu 0.500 0.500 0.000
Cu 0.000 0.000 0.000
Er 0.000 0.654 0.308
Er 0.500 0.154 0.308
Er 0.500 0.846 0.692
Er 0.000 0.346 0.692

* formation energy without anion corrections: -3044 meV/atom
* DOS(E_F): 1.03 states/eV/f.u.
* DFT total energy: -23.16 eV per atom

***

SrGaBi2Mo: single point on PBEsol structure, SCAN.

Cell lengths 5.423, 5.423, 5.514 Å; angles 90.00, 90.00, 90.00 degrees
Fractional positions:
Bi 0.000 0.500 0.000
Bi 0.500 0.000 0.000
Ga 0.000 0.000 0.000
Sr 0.000 0.000 0.500
Mo 0.500 0.500 0.500

* DOS(E_F): 3.10 states/eV/f.u.
* ΔE_f: 0.8563 eV/atom
* DFT total energy: -45.28 eV per atom

***

ScAl2Ir2: single point on PBEsol structure, SCAN.

Cell lengths 2.815, 7.332, 7.332 Å; angles 90.00, 90.00, 90.00 degrees
Fractional positions:
Sc 0.000 0.000 0.000
Sc 0.000 0.500 0.500
Ir 0.500 0.671 0.829
Ir 0.500 0.329 0.171
Ir 0.500 0.171 0.671
Ir 0.500 0.829 0.329
Al 0.000 0.126 0.374
Al 0.000 0.374 0.874
Al 0.000 0.626 0.126
Al 0.000 0.874 0.626

* DOS(E_F): 2.08 states/eV/f.u.
* ΔE_f: -1.0934 eV/atom
* DFT total energy: -35.48 eV per atom

***

ZrTa2Fe: single point on PBEsol structure, SCAN.

Cell lengths 3.126, 3.126, 6.811 Å; angles 90.00, 90.00, 89.98 degrees
Fractional positions:
Ta 0.500 0.500 0.763
Ta 0.000 0.000 0.026
Zr 0.000 0.000 0.478
Fe 0.500 0.500 0.232

* offset from the most stable computed form: 0.0 meV per atom
* DOS(E_F): 3.31 states/eV/f.u.
* ΔE_f: -0.0019 eV/atom
* DFT total energy: -45.50 eV per atom

***

CaZnP2Cl: single point on PBEsol structure, SCAN.

Cell lengths 4.457, 4.457, 5.478 Å; angles 90.00, 90.00, 90.00 degrees
Fractional positions:
P 0.000 0.500 0.000
P 0.500 0.000 0.000
Ca 0.500 0.500 0.500
Zn 0.000 0.000 0.000
Cl 0.000 0.000 0.500

* formation energy without anion corrections: -357 meV/atom
* DOS(E_F): 3.05 states/eV/f.u.
* DFT total energy: -10.75 eV per atom

***

Pt2PbW: single point on PBEsol structure, SCAN.

Cell lengths 3.965, 3.965, 4.299 Å; angles 90.00, 90.00, 90.00 degrees
Fractional positions:
W 0.500 0.500 0.500
Pb 0.000 0.000 0.500
Pt 0.000 0.500 0.000
Pt 0.500 0.000 0.000

* DOS(E_F): 2.52 states/eV/f.u.
* ΔE_f: 0.4601 eV/atom
* DFT total energy: -71.00 eV per atom

***

SnTe2RhN: single point on PBEsol structure, SCAN.

Cell lengths 3.637, 5.499, 5.499 Å; angles 90.00, 90.00, 90.00 degrees
Fractional positions:
Rh 0.000 0.000 0.000
Sn 0.500 0.500 0.500
Te 0.000 0.500 0.000
Te 0.000 0.000 0.500
N 0.500 0.000 0.000

* formation energy without anion corrections: 234 meV/atom
* DOS(E_F): 2.11 states/eV/f.u.
* DFT total energy: -30.46 eV per atom

***

Y2MgSi: single point on PBEsol structure, SCAN.

Cell lengths 3.404, 3.948, 6.866 Å; angles 90.00, 90.00, 90.00 degrees
Fractional positions:
Y 0.000 0.000 0.272
Y 0.000 0.000 0.728
Mg 0.500 0.500 0.000
Si 0.500 0.500 0.500

* formation energy without anion corrections: -382 meV/atom
* DOS(E_F): 1.55 states/eV/f.u.
* DFT total energy: -18.05 eV per atom

***

UCoC2: single point on PBEsol structure, SCAN.

Cell lengths 3.434, 3.434, 7.215 Å; angles 90.00, 90.00, 90.00 degrees
Fractional positions:
U 0.500 0.000 0.682
U 0.000 0.500 0.318
Co 0.500 0.500 0.000
Co 0.000 0.000 0.000
C 0.000 0.500 0.640
C 0.500 0.000 0.360
C 0.000 0.500 0.844
C 0.500 0.000 0.156

* DOS(E_F): 3.58 states/eV/f.u.
* ΔE_f: -0.0445 eV/atom
* DFT total energy: -35.30 eV per atom

***

CoHg2Br: single point on PBEsol structure, SCAN.

Cell lengths 3.077, 3.077, 8.699 Å; angles 90.00, 90.00, 90.29 degrees
Fractional positions:
Hg 0.500 0.500 0.761
Hg 0.000 0.000 0.052
Co 0.500 0.500 0.268
Br 0.000 0.000 0.418

* offset from the most stable computed form: 0.0 meV per atom
* formation energy without anion corrections: 187 meV/atom
* DOS(E_F): 2.34 states/eV/f.u.
* DFT total energy: -43.09 eV per atom